[1]
VASP calculation (GGA-PBE) on crystalline MnPN at its relaxed geometry.

## Properties
energy relative to the elements, uncorrected = 0.013 eV/atom
distance to the lowest polymorph of the same formula = 0.183 eV per atom

a b c (Å): 3.8364 2.6555 3.8544
angles (deg): 90.00 109.13 90.00
With the nearest neighbours (Å) after each atom.
Positions (direct):
Mn  0.6951  0.0000  0.3219  2 N 1.98-2.12
P  0.1251  0.5000  0.1430  2 N 1.76
N  0.8866  0.0000  0.8650  2 P 1.76

[2]
VASP calculation (GGA-PBE) on crystalline MnPN at its relaxed geometry.

## Properties
energy relative to the elements, uncorrected = -0.058 eV/atom
distance to the lowest polymorph of the same formula = 0.113 eV per atom

a b c (Å): 3.5493 3.5493 12.4811
angles (deg): 112.12 112.12 63.59
With the nearest neighbours (Å) after each atom.
Positions (direct):
N  0.5719  0.5719  0.5473  1 N 1.11
N  0.4281  0.4281  0.4527  1 N 1.11
P  0.5434  0.5434  0.8612  4 Mn 2.22-2.32
P  0.4566  0.4566  0.1388  4 Mn 2.22-2.32
Mn  0.2631  0.2631  0.9312  4 P 2.22-2.32
Mn  0.7369  0.7369  0.0688  4 P 2.22-2.32

[3]
VASP calculation (GGA-PBE) on crystalline MnPN at its relaxed geometry.

## Properties
energy relative to the elements, uncorrected = -0.159 eV/atom
distance to the lowest polymorph of the same formula = 0.012 eV per atom

a b c (Å): 2.9940 2.9940 4.1559
angles (deg): 90.00 90.00 120.00
With the nearest neighbours (Å) after each atom.
Positions (direct):
Mn  0.3333  0.6667  0.5984  3 N 2.03, 3 P 2.24
P  0.0000  0.0000  0.2546  1 N 1.67
N  0.0000  0.0000  0.8538  1 P 1.67

[4]
VASP calculation (GGA-PBE) on crystalline MnPN at its relaxed geometry.

## Properties
energy relative to the elements, uncorrected = 0.121 eV/atom
distance to the lowest polymorph of the same formula = 0.292 eV per atom

a b c (Å): 2.6064 2.6064 15.9154
angles (deg): 90.00 90.00 120.00
With the nearest neighbours (Å) after each atom.
Positions (direct):
Mn  0.0000  0.0000  0.9718  3 N 1.88
Mn  0.3333  0.6667  0.6384  3 N 1.88
Mn  0.6667  0.3333  0.3051  3 N 1.88
P  0.0000  0.0000  0.1242  1 N 1.76
P  0.3333  0.6667  0.7908  1 N 1.76
P  0.6667  0.3333  0.4575  1 N 1.76
N  0.0000  0.0000  0.2346  1 P 1.76, 3 Mn 1.88
N  0.3333  0.6667  0.9013  1 P 1.76, 3 Mn 1.88
N  0.6667  0.3333  0.5680  1 P 1.76, 3 Mn 1.88

[5]
VASP calculation (GGA-PBE) on crystalline Pa2MnPN6 at its relaxed geometry.

## Properties
energy relative to the elements, uncorrected = -0.725 eV/atom

a b c (Å): 3.7398 5.2056 5.2056
angles (deg): 90.00 90.00 90.00
With the nearest neighbours (Å) after each atom.
Positions (direct):
Pa  0.1447  0.5000  0.0000  12 N 2.60-2.63
Pa  0.1447  0.0000  0.5000  12 N 2.60-2.63
Mn  0.6447  0.5000  0.5000  6 N 1.87-1.94
P  0.6447  0.0000  0.0000  6 N 1.74-1.87
N  0.6447  0.2369  0.2369  1 P 1.74, 1 Mn 1.94
N  0.6447  0.2369  0.7631  1 P 1.74, 1 Mn 1.94
N  0.1447  0.5000  0.5000  2 Mn 1.87
N  0.1447  0.0000  0.0000  2 P 1.87
N  0.6447  0.7631  0.7631  1 P 1.74, 1 Mn 1.94
N  0.6447  0.7631  0.2369  1 P 1.74, 1 Mn 1.94

[6]
VASP calculation (GGA-PBE) on crystalline Pa2MnPN5 at its relaxed geometry.

## Properties
energy relative to the elements, uncorrected = -0.578 eV/atom

a b c (Å): 5.2615 6.6558 6.6558
angles (deg): 90.00 90.00 90.00
With the nearest neighbours (Å) after each atom.
Positions (direct):
Pa  0.5000  0.6820  0.1820  4 N 2.24-2.44
Pa  0.5000  0.1820  0.3180  4 N 2.24-2.44
Pa  0.5000  0.8180  0.6820  4 N 2.24-2.44
Pa  0.5000  0.3180  0.8180  4 N 2.24-2.44
Mn  0.0000  0.5000  0.5000  10 N 2.63-2.89
Mn  0.0000  0.0000  0.0000  10 N 2.63-2.89
P  0.0000  0.0000  0.5000  4 N 1.75
P  0.0000  0.5000  0.0000  4 N 1.75
N  0.5000  0.5000  0.5000  4 Pa 2.44, 2 Mn 2.63
N  0.5000  0.0000  0.0000  4 Pa 2.44, 2 Mn 2.63
N  0.2354  0.1309  0.6309  1 P 1.75
N  0.2354  0.8691  0.3691  1 P 1.75
N  0.2354  0.3691  0.1309  1 P 1.75
N  0.2354  0.6309  0.8691  1 P 1.75
N  0.7646  0.1309  0.6309  1 P 1.75
N  0.7646  0.6309  0.8691  1 P 1.75
N  0.7646  0.8691  0.3691  1 P 1.75
N  0.7646  0.3691  0.1309  1 P 1.75

[7]
VASP calculation (GGA-PBE) on crystalline PaMn2PN at its relaxed geometry.

## Properties
energy relative to the elements, uncorrected = -0.660 eV/atom

a b c (Å): 3.8004 3.8003 4.9403
angles (deg): 90.00 90.00 90.00
With the nearest neighbours (Å) after each atom.
Positions (direct):
Pa  0.0000  0.0000  0.4596  1 N 2.23
Mn  0.0000  0.5000  0.9306  2 N 1.94
Mn  0.5000  0.0000  0.9307  2 N 1.94
P  0.5000  0.5000  0.6716  4 Mn 2.29
N  0.0000  0.0000  0.0075  4 Mn 1.94

[8]
VASP calculation (GGA-PBE) on crystalline PaMnPN4 at its relaxed geometry.

## Properties
energy relative to the elements, uncorrected = -0.575 eV/atom

a b c (Å): 5.9993 6.1136 6.1136
angles (deg): 68.85 60.62 60.62
With the nearest neighbours (Å) after each atom.
Positions (direct):
Pa  0.0000  0.0000  0.0000  6 N 2.19-2.38
Pa  0.0000  0.5000  0.5000  6 N 2.19-2.38
Mn  0.5000  0.0000  0.5000  2 N 1.98
Mn  0.0000  0.0000  0.5000  2 N 1.98
P  0.6153  0.6347  0.1347  4 N 1.68-1.69
P  0.3847  0.3653  0.8653  4 N 1.68-1.69
N  0.7332  0.7160  0.8177  1 P 1.68
N  0.2668  0.6823  0.7840  1 P 1.68
N  0.7332  0.3177  0.2160  1 P 1.68
N  0.2668  0.2840  0.1823  1 P 1.68
N  0.2655  0.7563  0.2563  1 P 1.69
N  0.7219  0.7563  0.2563  1 P 1.69
N  0.2781  0.2437  0.7437  1 P 1.69
N  0.7345  0.2437  0.7437  1 P 1.69